Density functional theory data (PBE) for an optimized crystal structure of NpCr2Ag3S6.

The crystal system is monoclinic. The calculation puts the calculated total energy at -72.55 eV/f.u. The calculation puts the total magnetization at 0.77 μB per atom.

The structure belongs to space group C2/m (No. 12); the cell edges are 6.2578, 10.9010 and 7.9252 Å and the angles 90.00°, 108.93° and 90.00°. The distinct sites, in fractional coordinates, are Np at (0.0000, 0.0000, 0.0000), Cr at (0.0000, 0.3329, 0.0000), Ag at (0.0000, 0.2108, 0.5000), Ag at (0.0000, 0.5000, 0.5000), S at (0.0539, 0.5000, 0.8169) and S at (0.1071, 0.1848, 0.8172).

---

Density functional theory data (PBE) for an optimized crystal structure of NpCr2Ag3Se6.

The crystal system is monoclinic. The calculation puts the calculated total energy at -66.76 eV/f.u. The calculation puts the total magnetization at 0.23 μB per atom.

The structure belongs to space group C2/m (No. 12); the cell edges are 6.6716, 11.5050 and 6.9907 Å and the angles 90.00°, 106.31° and 90.00°. The distinct sites, in fractional coordinates, are Np at (0.0000, 0.0000, 0.0000), Cr at (0.0000, 0.3298, 0.0000), Ag at (0.0000, 0.1369, 0.5000), Ag at (0.0000, 0.5000, 0.5000), Se at (0.1950, 0.5000, 0.2173) and Se at (0.2493, 0.3155, 0.7741).

---

Density functional theory data (PBE) for an optimized crystal structure of Np3CrAg3Se8.

The crystal system is trigonal. The calculation puts the calculated total energy at -94.80 eV/f.u. The calculation puts the total magnetization at 0.93 μB per atom.

The structure belongs to space group R-3m (No. 166, hexagonal axes); the cell edges are 8.2016, 8.2016 and 19.4258 Å and the angles 90.00°, 90.00° and 120.00°. The distinct sites, in fractional coordinates, are Np at (0.0000, 0.5000, 0.0000), Cr at (0.0000, 0.0000, 0.0000), Ag at (0.0000, 0.5000, 0.5000), Se at (0.0000, 0.0000, 0.2511) and Se at (0.0250, 0.5125, 0.7433).